Entry from Alexandria via LeMat-Bulk: a relaxed Cr2AsRuO crystal (PBE with a Hubbard U).

Cell lengths 4.068, 4.068, 4.105 Å; angles 90.00, 90.00, 90.00 degrees
Space group P4/mmm (No. 123)
Symmetry-distinct sites (fractional):
Cr: 0.000 0.500 0.000 x2
As: 0.000 0.000 0.500 x1
Ru: 0.500 0.500 0.500 x1
O: 0.500 0.500 0.000 x1

Summary:
Fermi-level density of states ... 0.866 states/eV/atom
Total magnetization ... 1.720 Bohr magnetons per cell
VASP energy ... -0.226 Ha/atom